(1)
Below is a relaxed structure of CuSnHgMo, with properties calculated at the GGA-PBE level.

Calculated values
SG: F-43m
Energy relative to the lowest polymorph listed for this composition, eV per atom: 0.0000

Cell: 4.6709 4.6709 4.6709 Å, 60.00 60.00 60.00°
Last column: nearest neighbours and their distance in Å.
Sites, in units of the cell vectors:
Cu: 0.0000 0.0000 0.0000  4 Hg 2.86, 4 Sn 2.86
Sn: 0.7500 0.7500 0.7500  4 Mo 2.86, 4 Cu 2.86
Hg: 0.2500 0.2500 0.2500  4 Mo 2.86, 4 Cu 2.86
Mo: 0.5000 0.5000 0.5000  4 Hg 2.86, 4 Sn 2.86

---

(2)
Below is a relaxed structure of CuSnHgMo, with properties calculated at the GGA-PBE level.

Calculated values
SG: F-43m
Energy relative to the lowest polymorph listed for this composition, eV per atom: 0.1845

Cell: 4.7840 4.7840 4.7840 Å, 60.00 60.00 60.00°
Last column: nearest neighbours and their distance in Å.
Sites, in units of the cell vectors:
Cu: 0.0000 0.0000 0.0000  4 Sn 2.93, 4 Mo 2.93
Sn: 0.7500 0.7500 0.7500  4 Hg 2.93, 4 Cu 2.93
Hg: 0.5000 0.5000 0.5000  4 Sn 2.93, 4 Mo 2.93
Mo: 0.2500 0.2500 0.2500  4 Hg 2.93, 4 Cu 2.93

---

(3)
Below is a relaxed structure of TlCuHgMo, with properties calculated at the GGA-PBE level.

Calculated values
SG: F-43m
Energy relative to the lowest polymorph listed for this composition, eV per atom: 0.0000

Cell: 4.7371 4.7371 4.7371 Å, 60.00 60.00 60.00°
Last column: nearest neighbours and their distance in Å.
Sites, in units of the cell vectors:
Tl: 0.0000 0.0000 0.0000  4 Mo 2.90, 4 Cu 2.90
Cu: 0.2500 0.2500 0.2500  4 Hg 2.90, 4 Tl 2.90
Hg: 0.5000 0.5000 0.5000  4 Mo 2.90, 4 Cu 2.90
Mo: 0.7500 0.7500 0.7500  4 Hg 2.90, 4 Tl 2.90

---

(4)
Below is a relaxed structure of TlCuHgMo, with properties calculated at the GGA-PBE level.

Calculated values
SG: F-43m
Energy relative to the lowest polymorph listed for this composition, eV per atom: 0.1224

Cell: 4.7792 4.7792 4.7792 Å, 60.00 60.00 60.00°
Last column: nearest neighbours and their distance in Å.
Sites, in units of the cell vectors:
Tl: 0.0000 0.0000 0.0000  4 Hg 2.93, 4 Cu 2.93
Cu: 0.2500 0.2500 0.2500  4 Mo 2.93, 4 Tl 2.93
Hg: 0.7500 0.7500 0.7500  4 Mo 2.93, 4 Tl 2.93
Mo: 0.5000 0.5000 0.5000  4 Hg 2.93, 4 Cu 2.93

---

(5)
Below is a relaxed structure of ZnCuHgMo, with properties calculated at the GGA-PBE level.

Calculated values
DFT formation energy, eV/atom: 0.547
SG: F-43m
Energy relative to the lowest polymorph listed for this composition, eV per atom: 0.0377

Cell: 4.5197 4.5197 4.5197 Å, 60.00 60.00 60.00°
Last column: nearest neighbours and their distance in Å.
Sites, in units of the cell vectors:
Zn: 0.0000 0.0000 0.0000  4 Hg 2.77, 4 Cu 2.77
Cu: 0.2500 0.2500 0.2500  4 Mo 2.77, 4 Zn 2.77
Hg: 0.7500 0.7500 0.7500  4 Mo 2.77, 4 Zn 2.77
Mo: 0.5000 0.5000 0.5000  4 Hg 2.77, 4 Cu 2.77

---

(6)
Below is a relaxed structure of ZnCuHgMo, with properties calculated at the GGA-PBE level.

Calculated values
DFT formation energy, eV/atom: 0.509
SG: F-43m
Energy relative to the lowest polymorph listed for this composition, eV per atom: 0.0000

Cell: 4.5152 4.5152 4.5152 Å, 60.00 60.00 60.00°
Last column: nearest neighbours and their distance in Å.
Sites, in units of the cell vectors:
Zn: 0.0000 0.0000 0.0000  4 Mo 2.76, 4 Cu 2.76
Cu: 0.2500 0.2500 0.2500  4 Hg 2.76, 4 Zn 2.76
Hg: 0.5000 0.5000 0.5000  4 Mo 2.76, 4 Cu 2.76
Mo: 0.7500 0.7500 0.7500  4 Hg 2.76, 4 Zn 2.76

---

(7)
Below is a relaxed structure of NaCuHg, with properties calculated at the GGA-PBE level.

Calculated values
SG: F-43m
Energy relative to the lowest polymorph listed for this composition, eV per atom: 0.0000

Cell: 4.5660 4.5660 4.5660 Å, 60.00 60.00 60.00°
Last column: nearest neighbours and their distance in Å.
Sites, in units of the cell vectors:
Na: 0.0000 0.0000 0.0000  4 Cu 2.80
Cu: 0.7500 0.7500 0.7500  4 Hg 2.80, 4 Na 2.80
Hg: 0.5000 0.5000 0.5000  4 Cu 2.80

---

(8)
Below is a relaxed structure of NaCuHg, with properties calculated at the GGA-PBE level.

Calculated values
SG: F-43m
Energy relative to the lowest polymorph listed for this composition, eV per atom: 0.2618

Cell: 4.6992 4.6992 4.6992 Å, 60.00 60.00 60.00°
Last column: nearest neighbours and their distance in Å.
Sites, in units of the cell vectors:
Na: 0.0000 0.0000 0.0000  4 Hg 2.88, 4 Cu 2.88
Cu: 0.7500 0.7500 0.7500  4 Na 2.88
Hg: 0.2500 0.2500 0.2500  4 Na 2.88